--- a ---
DFT (PBE) results for MnTcN2 after structural relaxation.

Lattice parameters (Å, degrees): 3.657 3.657 3.657 60.00 60.00 60.00
Fractional coordinates of all 4 atoms:
Mn 0.000 0.000 0.000
Tc 0.500 0.500 0.500
N 0.250 0.250 0.250
N 0.750 0.750 0.750

***

--- b ---
DFT (PBE) results for MnTcN2 after structural relaxation.

Lattice parameters (Å, degrees): 6.336 6.336 6.336 25.89 25.89 25.89
Last column: magnetic moment on the atom in μB.
Fractional coordinates of all 4 atoms:
Mn 0.500 0.500 0.500  2.60
Tc 0.000 0.000 0.000  0.50
N 0.894 0.894 0.894  -0.05
N 0.106 0.106 0.106  -0.05

***

--- c ---
DFT (PBE) results for MnTcN2 after structural relaxation.

Lattice parameters (Å, degrees): 4.499 4.499 5.467 65.70 65.70 90.00
Last column: magnetic moment on the atom in μB.
Fractional coordinates of all 8 atoms:
Mn 0.500 0.500 0.000  2.29
Mn 0.250 0.750 0.500  2.29
Tc 0.000 0.000 0.000  -0.09
Tc 0.750 0.250 0.500  -0.09
N 0.611 0.125 0.250  -0.04
N 0.139 0.625 0.250  -0.04
N 0.375 0.389 0.750  -0.04
N 0.875 0.861 0.750  -0.04

***

Computed relative energies in units of eV/atom: a 0.713; b 0.302; c 0.000

***

--- a ---
DFT (PBE) results for MnTcN after structural relaxation.

Lattice parameters (Å, degrees): 2.802 3.540 3.540 120.00 90.00 90.00
Fractional coordinates of all 3 atoms:
Mn 0.167 0.000 0.000
Tc 0.667 0.333 0.667
N 0.167 0.667 0.333

***

--- b ---
DFT (PBE) results for MnTcN after structural relaxation.

Lattice parameters (Å, degrees): 4.100 5.499 5.634 90.00 90.00 90.00
Fractional coordinates of all 12 atoms:
Tc 0.750 0.346 0.344
Tc 0.750 0.154 0.844
Tc 0.250 0.846 0.156
Tc 0.250 0.654 0.656
N 0.250 0.079 0.872
N 0.250 0.421 0.372
N 0.750 0.579 0.628
N 0.750 0.921 0.128
Mn 0.250 0.372 0.046
Mn 0.250 0.128 0.546
Mn 0.750 0.872 0.454
Mn 0.750 0.628 0.954

***

Computed relative energies in units of eV/atom: a 0.390; b 0.000

***

--- a ---
DFT (PBE) results for MnTcTe2N after structural relaxation.

Lattice parameters (Å, degrees): 5.222 5.222 3.426 90.00 90.00 90.00
Last column: magnetic moment on the atom in μB.
Fractional coordinates of all 5 atoms:
Te 0.000 0.500 0.000  -0.08
Te 0.500 0.000 0.000  -0.08
Tc 0.500 0.500 0.500  2.13
Mn 0.000 0.000 0.000  1.31
N 0.000 0.000 0.500  -0.13

***

--- b ---
DFT (PBE) results for MnTcTe2N after structural relaxation.

Lattice parameters (Å, degrees): 5.437 5.437 3.701 90.00 90.00 90.00
Last column: magnetic moment on the atom in μB.
Fractional coordinates of all 5 atoms:
Te 0.000 0.500 0.000  -0.03
Te 0.500 0.000 0.000  -0.03
Tc 0.000 0.000 0.000  -0.04
Mn 0.500 0.500 0.500  4.31
N 0.000 0.000 0.500  0.01

***

Computed relative energies in units of eV/atom: a 0.176; b 0.000

***

--- a ---
DFT (PBE) results for Mn2TcWN after structural relaxation.

Lattice parameters (Å, degrees): 3.819 3.819 4.004 90.00 90.00 90.00
Fractional coordinates of all 5 atoms:
Mn 0.000 0.500 0.000
Mn 0.500 0.000 0.000
Tc 0.000 0.000 0.500
W 0.500 0.500 0.500
N 0.000 0.000 0.000

***

--- b ---
DFT (PBE) results for Mn2TcWN after structural relaxation.

Lattice parameters (Å, degrees): 3.809 3.809 4.064 90.00 90.00 90.00
Fractional coordinates of all 5 atoms:
Mn 0.000 0.500 0.000
Mn 0.500 0.000 0.000
Tc 0.500 0.500 0.500
W 0.000 0.000 0.500
N 0.000 0.000 0.000

***

Computed relative energies in units of eV/atom: a 0.024; b 0.000

***

--- a ---
DFT (PBE) results for Mn2TeN after structural relaxation.

Lattice parameters (Å, degrees): 4.133 4.133 4.133 60.00 60.00 60.00
Fractional coordinates of all 4 atoms:
Te 0.500 0.500 0.500
Mn 0.250 0.250 0.250
Mn 0.750 0.750 0.750
N 0.000 0.000 0.000

***

--- b ---
DFT (PBE) results for Mn2TeN after structural relaxation.

Lattice parameters (Å, degrees): 4.900 4.900 6.527 67.95 67.95 90.00
Last column: magnetic moment on the atom in μB.
Fractional coordinates of all 8 atoms:
Te 0.000 0.000 0.000  -0.10
Te 0.750 0.250 0.500  -0.10
Mn 0.476 0.125 0.250  2.86
Mn 0.274 0.625 0.250  2.87
Mn 0.375 0.524 0.750  2.82
Mn 0.875 0.726 0.750  2.83
N 0.500 0.500 0.000  -0.08
N 0.250 0.750 0.500  -0.09

***

Computed relative energies in units of eV/atom: a 1.099; b 0.000

***

--- a ---
DFT (PBE) results for MnVTeN2 after structural relaxation.

Lattice parameters (Å, degrees): 3.710 3.710 5.495 90.00 90.00 90.00
Last column: magnetic moment on the atom in μB.
Fractional coordinates of all 5 atoms:
N 0.000 0.500 0.000  -0.08
N 0.500 0.000 0.000  -0.08
Te 0.000 0.000 0.500  -0.09
Mn 0.000 0.000 0.000  0.33
V 0.500 0.500 0.500  2.47

***

--- b ---
DFT (PBE) results for MnVTeN2 after structural relaxation.

Lattice parameters (Å, degrees): 3.817 3.817 5.619 90.00 90.00 90.00
Last column: magnetic moment on the atom in μB.
Fractional coordinates of all 5 atoms:
N 0.000 0.500 0.000  -0.20
N 0.500 0.000 0.000  -0.20
Te 0.000 0.000 0.500  -0.01
Mn 0.500 0.500 0.500  4.16
V 0.000 0.000 0.000  0.44

***

Computed relative energies in units of eV/atom: a 0.337; b 0.000

***

--- a ---
DFT (PBE) results for YMnTe2N after structural relaxation.

Lattice parameters (Å, degrees): 5.453 5.453 3.607 90.00 90.00 90.00
Last column: magnetic moment on the atom in μB.
Fractional coordinates of all 5 atoms:
Y 0.500 0.500 0.500  -0.08
Te 0.000 0.500 0.000  -0.03
Te 0.500 0.000 0.000  -0.03
Mn 0.000 0.000 0.000  2.23
N 0.000 0.000 0.500  -0.31

***

--- b ---
DFT (PBE) results for YMnTe2N after structural relaxation.

Lattice parameters (Å, degrees): 5.918 5.918 4.322 90.00 90.00 90.00
Last column: magnetic moment on the atom in μB.
Fractional coordinates of all 5 atoms:
Y 0.000 0.000 0.000  0.05
Te 0.000 0.500 0.000  0.07
Te 0.500 0.000 0.000  0.07
Mn 0.500 0.500 0.500  4.48
N 0.000 0.000 0.500  0.96

***

Computed relative energies in units of eV/atom: a 0.000; b 0.789

***

--- a ---
DFT (PBE) results for MnZnTe2N after structural relaxation.

Lattice parameters (Å, degrees): 5.351 5.351 3.456 90.00 90.00 90.00
Last column: magnetic moment on the atom in μB.
Fractional coordinates of all 5 atoms:
Zn 0.500 0.500 0.500  -0.02
Te 0.000 0.500 0.000  -0.05
Te 0.500 0.000 0.000  -0.05
Mn 0.000 0.000 0.000  1.26
N 0.000 0.000 0.500  -0.14

***

--- b ---
DFT (PBE) results for MnZnTe2N after structural relaxation.

Lattice parameters (Å, degrees): 5.610 5.610 3.634 90.00 90.00 90.00
Last column: magnetic moment on the atom in μB.
Fractional coordinates of all 5 atoms:
Zn 0.000 0.000 0.000  0.05
Te 0.000 0.500 0.000  0.09
Te 0.500 0.000 0.000  0.09
Mn 0.500 0.500 0.500  4.33
N 0.000 0.000 0.500  0.87

***

Computed relative energies in units of eV/atom: a 0.000; b 0.686